The following is a GGA-PBE calculation of SmMgGaPt after structural relaxation, from the Alexandria database.

Unit cell a=4.867 b=4.867 c=4.867 alpha=60.00 beta=60.00 gamma=60.00
Sites, in units of the cell vectors:
Mg1 0.500 0.500 0.500
Sm1 0.000 0.000 0.000
Pt1 0.750 0.750 0.750
Ga1 0.250 0.250 0.250

**Formation enthalpy at 0 K**: -0.7260 eV/atom